1.
SrTe2W: optimized geometry, PBE.

Unit cell a=6.5650 b=6.5650 c=6.5650 alpha=140.59 beta=140.59 gamma=56.96
Closest atoms and distances in Å follow each position.
Element x y z (fractional)
Sr  0.0000  0.0000  0.0000  4 Te 3.13
Te  0.2500  0.7500  0.5000  4 W 3.13
Te  0.5000  0.5000  0.0000  4 Sr 3.13
W  0.7500  0.2500  0.5000  4 Te 3.13

Computed properties:
**Magnetization**: 3.902 μB/f.u.
**Electronic total energy**: -4.828 eV per atom
**Crystal system**: tetragonal
**Formation energy from raw total energies**: 401 meV per atom

=====

2.
SrTe2W: optimized geometry, PBE.

Unit cell a=3.5081 b=3.5081 c=7.9155 alpha=90.00 beta=90.00 gamma=90.00
Closest atoms and distances in Å follow each position.
Element x y z (fractional)
Sr  0.0000  0.0000  0.0000  8 Te 3.41, 4 Sr 3.51
Te  0.5000  0.5000  0.2958  4 W 2.96, 1 Te 3.23
Te  0.5000  0.5000  0.7042  4 W 2.96, 1 Te 3.23
W  0.0000  0.0000  0.5000  8 Te 2.96

Computed properties:
**Magnetization**: 0.001 μB/f.u.
**Electronic total energy**: -5.163 eV per atom
**Crystal system**: tetragonal
**Formation energy from raw total energies**: 67 meV per atom

=====

3.
SrTe2W: optimized geometry, PBE.

Unit cell a=8.4322 b=8.4322 c=8.4322 alpha=134.54 beta=134.54 gamma=66.24
Closest atoms and distances in Å follow each position.
Element x y z (fractional)
Sr  0.0000  0.0000  0.0000  4 Te 3.24
Sr  0.7500  0.2500  0.5000  4 Te 3.24
Te  0.2095  0.6250  0.0845  2 W 2.63
Te  0.3750  0.4595  0.5845  2 W 2.63
Te  0.5405  0.1250  0.9155  2 W 2.63
Te  0.8750  0.7905  0.4155  2 W 2.63
W  0.2500  0.7500  0.5000  4 Te 2.63
W  0.5000  0.5000  0.0000  4 Te 2.63

Computed properties:
**Magnetization**: 0.000 μB/f.u.
**Electronic total energy**: -5.124 eV per atom
**Crystal system**: tetragonal
**Formation energy from raw total energies**: 106 meV per atom